{
  "formula": "RbMg",
  "functional": "PBE",
  "state": "optimized geometry",
  "cell": [[4.9026, 0.0000, 0.0000], [-2.4513, 4.2458, 0.0000], [0.0000, 0.0000, 11.2001]],
  "species": ["Rb", "Rb", "Mg", "Mg"],
  "frac_coords": [[0.3333, 0.6667, 0.3057], [0.6667, 0.3333, 0.6943], [0.3333, 0.6667, 0.9477], [0.6667, 0.3333, 0.0523]],
  "n_ef_per_ev_cell": 2.58,
  "sg": "P-3m1, No. 164",
  "volume_a3_per_atom": 58.28,
  "ef_kj_per_mol_atoms": 27
}

{
  "formula": "Er4Fe",
  "functional": "PBE",
  "state": "optimized geometry",
  "cell": [[0.0000, 5.1950, 5.1950], [5.1950, 0.0000, 5.1950], [5.1950, 5.1950, 0.0000]],
  "species": ["Er", "Er", "Er", "Er", "Er", "Er", "Er", "Er", "Fe", "Fe"],
  "frac_coords": [[0.2178, 0.7607, 0.7607], [0.2393, 0.2393, 0.2393], [0.2393, 0.2393, 0.7822], [0.2393, 0.7822, 0.2393], [0.7607, 0.2178, 0.7607], [0.7607, 0.7607, 0.2178], [0.7607, 0.7607, 0.7607], [0.7822, 0.2393, 0.2393], [0.3750, 0.3750, 0.3750], [0.6250, 0.6250, 0.6250]],
  "n_ef_per_ev_cell": 10.07,
  "sg": "Fd-3m, No. 227",
  "volume_a3_per_atom": 28.04,
  "ef_kj_per_mol_atoms": 41
}

{
  "formula": "Na3Ce2ZnSe6",
  "functional": "PBE",
  "state": "optimized geometry",
  "cell": [[3.5855, -6.2253, 0.0000], [3.5855, 6.2253, 0.0000], [-2.3857, 0.0000, 6.9752]],
  "species": ["Na", "Na", "Na", "Ce", "Ce", "Zn", "Se", "Se", "Se", "Se", "Se", "Se"],
  "frac_coords": [[0.0000, 0.0000, 0.0000], [0.3328, 0.6672, 0.0000], [0.6672, 0.3328, 0.0000], [0.1667, 0.8333, 0.5000], [0.8333, 0.1667, 0.5000], [0.5000, 0.5000, 0.5000], [0.1029, 0.4240, 0.2716], [0.2569, 0.2569, 0.7255], [0.4240, 0.1029, 0.2716], [0.5760, 0.8971, 0.7284], [0.7431, 0.7431, 0.2745], [0.8971, 0.5760, 0.7284]],
  "n_ef_per_ev_cell": 6.01,
  "sg": "C2/m, No. 12",
  "volume_a3_per_atom": 25.95,
  "e_form_raw_kj_per_mol_fu": -1535
}

{
  "formula": "BeIn3Ru",
  "functional": "PBE",
  "state": "optimized geometry",
  "cell": [[5.1601, 0.0000, 0.0000], [0.0000, 5.1601, 0.0000], [0.0000, 0.0000, 5.1601]],
  "species": ["Be", "In", "In", "In", "Ru"],
  "frac_coords": [[0.0000, 0.0000, 0.0000], [0.0000, 0.5000, 0.5000], [0.5000, 0.0000, 0.5000], [0.5000, 0.5000, 0.0000], [0.5000, 0.5000, 0.5000]],
  "n_ef_per_ev_cell": 2.91,
  "sg": "Pm-3m, No. 221",
  "volume_a3_per_atom": 27.48,
  "ef_kj_per_mol_atoms": 59
}

{
  "formula": "KLaPr2Se4",
  "functional": "PBE",
  "state": "optimized geometry",
  "cell": [[7.5127, 0.0000, 0.0000], [0.0000, 4.3005, 0.0000], [-2.4502, 0.0000, 7.1980]],
  "species": ["K", "La", "Pr", "Pr", "Se", "Se", "Se", "Se"],
  "frac_coords": [[0.0000, 0.0000, 0.0000], [0.5000, 0.5000, 0.0000], [0.0000, 0.5000, 0.5000], [0.5000, 0.0000, 0.5000], [0.2534, 0.0000, 0.7446], [0.2628, 0.5000, 0.2638], [0.7372, 0.5000, 0.7362], [0.7466, 0.0000, 0.2554]],
  "n_ef_per_ev_cell": 2.79,
  "sg": "P2/m, No. 10",
  "volume_a3_per_atom": 29.07,
  "e_form_raw_kj_per_mol_fu": -1397
}

{
  "formula": "AcHgOs2O8",
  "functional": "PBE",
  "state": "optimized geometry",
  "cell": [[6.5579, 0.0000, 0.0000], [-3.2789, 5.6793, 0.0000], [0.0000, 0.0000, 8.1324]],
  "species": ["Ac", "Hg", "Os", "Os", "O", "O", "O", "O", "O", "O", "O", "O"],
  "frac_coords": [[0.0000, 0.0000, 0.0000], [0.0000, 0.0000, 0.5000], [0.3333, 0.6667, 0.2421], [0.6667, 0.3333, 0.7579], [0.1840, 0.3722, 0.1603], [0.1882, 0.8160, 0.1603], [0.3333, 0.6667, 0.4560], [0.3722, 0.1882, 0.8397], [0.6278, 0.8118, 0.1603], [0.6667, 0.3333, 0.5440], [0.8118, 0.1840, 0.8397], [0.8160, 0.6278, 0.8397]],
  "n_ef_per_ev_cell": 8.75,
  "sg": "P-3, No. 147",
  "volume_a3_per_atom": 25.24,
  "e_form_raw_kj_per_mol_fu": -1538
}

{
  "formula": "InSi2Mo",
  "functional": "PBE",
  "state": "optimized geometry",
  "cell": [[-2.0385, 2.0385, 3.9526], [2.0385, -2.0385, 3.9526], [2.0385, 2.0385, -3.9526]],
  "species": ["In", "Si", "Si", "Mo"],
  "frac_coords": [[0.0000, 0.0000, 0.0000], [0.2500, 0.7500, 0.5000], [0.7500, 0.2500, 0.5000], [0.5000, 0.5000, 0.0000]],
  "n_ef_per_ev_cell": 3.55,
  "sg": "I4/mmm, No. 139",
  "volume_a3_per_atom": 16.43,
  "e_form_raw_kj_per_mol_fu": 171
}

{
  "formula": "VZnAs3",
  "functional": "PBE",
  "state": "optimized geometry",
  "cell": [[4.7481, 0.0000, 0.0000], [0.0000, 4.7481, 0.0000], [0.0000, 0.0000, 4.7481]],
  "species": ["V", "Zn", "As", "As", "As"],
  "frac_coords": [[0.0000, 0.0000, 0.0000], [0.5000, 0.5000, 0.5000], [0.0000, 0.0000, 0.5000], [0.0000, 0.5000, 0.0000], [0.5000, 0.0000, 0.0000]],
  "n_ef_per_ev_cell": 3.81,
  "sg": "Pm-3m, No. 221",
  "volume_a3_per_atom": 21.41,
  "ef_kj_per_mol_atoms": 26
}